No. 1
Below is a geometry-optimized KZr2AgS structure, with properties calculated at the GGA-PBE level.

Results
space-group type: P4/mmm (123)
formation energy from raw total energies: 0.03 eV/atom
E: -5.0036 eV/atom
DOS at the Fermi energy: 1.02 states/eV/atom
crystal system: tetragonal

a b c (Å): 4.8662 5.6661 4.8662
angles (deg): 90.00 90.00 90.00
Element x y z (fractional)
Zr 0.0000 0.0000 0.5000
Zr 0.5000 0.0000 0.0000
S 0.0000 0.0000 0.0000
K 0.0000 0.5000 0.0000
Ag 0.5000 0.5000 0.5000

---

No. 2
Below is a geometry-optimized AcIr6 structure, with properties calculated at the GGA-PBE level.

Results
space-group type: Im-3m (229)
E: -7.9981 eV/atom
energy relative to the elements: 0.184 eV per atom
DOS at the Fermi energy: 0.98 states/eV/atom
crystal system: cubic

a b c (Å): 5.9423 5.9423 5.9423
angles (deg): 109.47 109.47 109.47
Element x y z (fractional)
Ir 0.7500 0.5000 0.2500
Ir 0.7500 0.2500 0.5000
Ir 0.5000 0.2500 0.7500
Ir 0.5000 0.7500 0.2500
Ir 0.2500 0.7500 0.5000
Ir 0.2500 0.5000 0.7500
Ac 0.0000 0.0000 0.0000